# 1
# Dy2AlSn3

Dy2AlSn3 after structural relaxation (PBE-GGA, Alexandria via LeMat-Bulk).

a = 13.261 Å, b = 8.295 Å, c = 5.993 Å
α = 90.00°, β = 90.00°, γ = 90.00°
Space group Cmcm (No. 63)
One atom of each set of equivalent atoms:
1 Dy 0.134 0.179 0.250
2 Al 0.000 0.478 0.750
3 Sn 0.000 0.144 0.750
4 Sn 0.191 0.500 0.000

Values from the calculation:
**Volume**: 27.47 Å³/atom
**Total magnetization**: 0.0 μB per formula unit

---

# 2
# Dy2Al3Sn2

Dy2Al3Sn2 after structural relaxation (PBE-GGA, Alexandria via LeMat-Bulk).

a = 8.800 Å, b = 8.800 Å, c = 8.800 Å
α = 90.00°, β = 90.00°, γ = 90.00°
Space group I2_13 (No. 199)
One atom of each set of equivalent atoms:
1 Dy 0.249 0.251 0.749
2 Al 0.000 0.250 0.019
3 Sn 0.056 0.444 0.556

Values from the calculation:
**Volume**: 24.33 Å³/atom
**Total magnetization**: 0.0 μB per formula unit

---

# 3
# DyAl4Sn

DyAl4Sn after structural relaxation (PBE-GGA, Alexandria via LeMat-Bulk).

a = 7.855 Å, b = 7.855 Å, c = 7.855 Å
α = 90.00°, β = 90.00°, γ = 90.00°
Space group F-43m (No. 216)
One atom of each set of equivalent atoms:
1 Dy 0.000 0.000 0.000
2 Al 0.125 0.125 0.625
3 Sn 0.250 0.250 0.250

Values from the calculation:
**Volume**: 20.20 Å³/atom
**Total magnetization**: 0.0 μB per formula unit

---

# 4
# DyTmAlSn

DyTmAlSn after structural relaxation (PBE-GGA, Alexandria via LeMat-Bulk).

a = 7.354 Å, b = 7.354 Å, c = 7.354 Å
α = 90.00°, β = 90.00°, γ = 90.00°
Space group F-43m (No. 216)
One atom of each set of equivalent atoms:
1 Dy 0.000 0.000 0.000
2 Tm 0.000 0.000 0.500
3 Al 0.250 0.250 0.250
4 Sn 0.250 0.250 0.750

Values from the calculation:
**Volume**: 24.85 Å³/atom
**Total magnetization**: 0.0 μB per formula unit

---

# 5
# SrDyAl6

SrDyAl6 after structural relaxation (PBE-GGA, Alexandria via LeMat-Bulk).

a = 4.450 Å, b = 6.280 Å, c = 6.157 Å
α = 90.00°, β = 90.00°, γ = 90.00°
Space group Pmm2 (No. 25)
One atom of each set of equivalent atoms:
1 Sr 0.000 0.000 0.000
2 Dy 0.500 0.500 0.226
3 Al 0.000 0.261 0.478
4 Al 0.000 0.500 0.871
5 Al 0.500 0.000 0.404
6 Al 0.500 0.280 0.744

Values from the calculation:
**Volume**: 21.51 Å³/atom
**Total magnetization**: 0.0 μB per formula unit

---

# 6
# SrDyAl2

SrDyAl2 after structural relaxation (PBE-GGA, Alexandria via LeMat-Bulk).

a = 7.519 Å, b = 7.519 Å, c = 7.519 Å
α = 90.00°, β = 90.00°, γ = 90.00°
Space group Fm-3m (No. 225)
One atom of each set of equivalent atoms:
1 Sr 0.000 0.000 0.000
2 Dy 0.000 0.000 0.500
3 Al 0.250 0.250 0.250

Values from the calculation:
**Volume**: 26.57 Å³/atom
**Energy above the most stable polymorph in this dataset**: 80 meV/atom
**Total magnetization**: 0.0 μB per formula unit

---

ΔE_f? In order: -0.232 -0.225 -0.206 -0.428 -0.255 -0.160 eV/atom.